CoSb2P | PBE | optimized geometry

E = -4.990 eV/atom
V = 163.0 Å³ per cell

The structure in CIF format:
```
data_CoSb2P
_chemical_formula_sum 'Co2 Sb4 P2'
_space_group_name_H-M_alt 'I m m 2'
_space_group_IT_number 44
_cell_length_a 3.1285
_cell_length_b 4.6517
_cell_length_c 11.1980
_cell_angle_alpha 90.00
_cell_angle_beta 90.00
_cell_angle_gamma 90.00
loop_
_space_group_symop_operation_xyz
'x,y,z'
'-x,-y,z'
'-x,y,z'
'x,-y,z'
'x+1/2,y+1/2,z+1/2'
'-x+1/2,-y+1/2,z+1/2'
'-x+1/2,y+1/2,z+1/2'
'x+1/2,-y+1/2,z+1/2'
loop_
_atom_site_label
_atom_site_type_symbol
_atom_site_fract_x
_atom_site_fract_y
_atom_site_fract_z
Co1 Co 0.0000 0.0000 0.0000
Sb1 Sb 0.0000 0.0000 0.4809
Sb2 Sb 0.0000 0.5000 0.2909
P1 P 0.0000 0.5000 0.6387
```